Compound: Dy3MnO7
Source: Alexandria via LeMat-Bulk
Functional: PBE with a Hubbard U
Structure: optimized geometry

N(E_F) (states/eV per cell): 27.8
Final energy (eV per atom): -7.87
Magnetization (μB/f.u.): 3.9

a = 7.4369 Å, b = 10.3986 Å, c = 7.3471 Å
α = 90.00°, β = 90.00°, γ = 90.00°
With the nearest neighbours (Å) after each atom.
Space group C222_1 (No. 20)
Unique sites:
1 Dy 0.0319 0.0000 0.0000 (multiplicity 4)  6 O 2.30-2.37
2 Dy 0.2319 0.2719 0.7560 (multiplicity 8)  7 O 2.23-2.39
3 Mn 0.0046 0.5000 0.5000 (multiplicity 4)  6 O 1.93-1.97
4 O 0.0000 0.1307 0.2500 (multiplicity 4)  4 Dy 2.24-2.30
5 O 0.0000 0.1357 0.7500 (multiplicity 4)  4 Dy 2.23-2.33
6 O 0.0000 0.4315 0.7500 (multiplicity 4)  2 Mn 1.97
7 O 0.1885 0.3786 0.0353 (multiplicity 8)  1 Mn 1.93
8 O 0.2004 0.3772 0.4742 (multiplicity 8)  1 Mn 1.95